No. 1
Density functional theory data (PBE) for crystalline Pm5Ge2H at its relaxed geometry.

abc: 5.496 5.513 15.146
angles: 90.00 90.00 119.90
Sites, in units of the cell vectors:
Pm 0.414 0.828 0.387
Pm 0.914 0.829 0.887
Pm 0.586 0.172 0.887
Pm 0.250 0.500 0.750
Pm 0.414 0.828 0.113
Pm 0.586 0.172 0.613
Pm 0.086 0.171 0.387
Pm 0.086 0.171 0.113
Pm 0.914 0.829 0.613
Pm 0.750 0.500 0.250
H 0.250 0.500 0.250
H 0.750 0.500 0.750
Ge 0.750 0.500 0.440
Ge 0.250 0.500 0.940
Ge 0.750 0.500 0.060
Ge 0.250 0.500 0.560

## Properties
* symmetry: Fmmm, No. 69
* uncorrected energy: -4.948 eV per atom

---

No. 2
Density functional theory data (PBE) for crystalline Li3MgHg2 at its relaxed geometry.

abc: 4.263 7.706 8.899
angles: 124.47 90.00 106.06
Sites, in units of the cell vectors:
Li 0.745 0.491 0.617
Li 0.923 0.846 0.561
Li 0.255 0.509 0.383
Li 0.589 0.178 0.728
Li 0.411 0.822 0.272
Li 0.077 0.154 0.439
Hg 0.584 0.168 0.232
Hg 0.228 0.456 0.827
Hg 0.772 0.544 0.173
Hg 0.416 0.832 0.768
Mg 0.905 0.810 0.022
Mg 0.095 0.190 0.978

## Properties
* symmetry: C2/m, No. 12
* relative energy among the computed polymorphs: 0.000 eV per atom
* E_form: -283 meV per atom

---

No. 3
Density functional theory data (PBE) for crystalline Tb4Sm11Er9 at its relaxed geometry.

abc: 3.663 15.241 15.241
angles: 113.07 90.00 90.00
Sites, in units of the cell vectors:
Sm 0.000 0.956 0.594
Sm 0.000 0.406 0.044
Sm 0.000 0.044 0.406
Sm 0.000 0.368 0.632
Sm 0.000 0.594 0.956
Sm 0.000 0.291 0.291
Sm 0.000 0.840 0.160
Sm 0.000 0.160 0.840
Sm 0.000 0.709 0.709
Sm 0.000 0.000 0.000
Sm 0.000 0.632 0.368
Er 0.500 0.787 0.933
Er 0.500 0.835 0.368
Er 0.500 0.067 0.213
Er 0.500 0.500 0.500
Er 0.500 0.368 0.835
Er 0.500 0.632 0.165
Er 0.500 0.213 0.067
Er 0.500 0.165 0.632
Er 0.500 0.933 0.787
Tb 0.500 0.555 0.757
Tb 0.500 0.445 0.243
Tb 0.500 0.757 0.555
Tb 0.500 0.243 0.445

## Properties
* symmetry: Cmmm, No. 65
* E_form: 56 meV per atom

---

No. 4
Density functional theory data (PBE) for crystalline Sr3Tl2Hg5 at its relaxed geometry.

abc: 10.791 7.010 10.906
angles: 108.75 119.65 90.00
Sites, in units of the cell vectors:
Sr 0.833 0.332 0.666
Sr 0.667 0.666 0.334
Sr 0.167 0.668 0.334
Sr 0.250 0.000 0.000
Sr 0.333 0.334 0.666
Sr 0.750 0.000 0.000
Tl 0.363 0.863 0.726
Tl 0.637 0.137 0.274
Tl 0.137 0.137 0.274
Tl 0.863 0.863 0.726
Hg 0.963 0.213 0.426
Hg 0.000 0.724 0.000
Hg 0.500 0.724 0.000
Hg 0.000 0.276 0.000
Hg 0.750 0.500 0.000
Hg 0.037 0.787 0.574
Hg 0.500 0.276 0.000
Hg 0.537 0.787 0.574
Hg 0.463 0.213 0.426
Hg 0.250 0.500 0.000

## Properties
* symmetry: Ibam, No. 72
* E_form: -301 meV per atom

---

No. 5
Density functional theory data (PBE) for crystalline CsRbCa2Pd at its relaxed geometry.

abc: 5.809 5.809 7.094
angles: 90.00 90.00 90.00
Sites, in units of the cell vectors:
Cs 0.500 0.500 0.500
Ca 0.500 0.000 0.000
Ca 0.000 0.500 0.000
Rb 0.000 0.000 0.500
Pd 0.000 0.000 0.000

## Properties
* symmetry: P4/mmm, No. 123
* E_form: -62 meV per atom

---

No. 6
Density functional theory data (PBE) for crystalline NaCaInIr at its relaxed geometry.

abc: 4.910 4.910 4.910
angles: 60.00 60.00 60.00
Sites, in units of the cell vectors:
Na 0.500 0.500 0.500
Ca 0.750 0.750 0.750
In 0.250 0.250 0.250
Ir 0.000 0.000 0.000

## Properties
* symmetry: F-43m, No. 216
* E_form: -150 meV per atom

---

No. 7
Density functional theory data (PBE) for crystalline LaYF2 at its relaxed geometry.

abc: 4.729 4.729 4.729
angles: 60.00 60.00 60.00
Sites, in units of the cell vectors:
Y 0.000 0.000 0.000
F 0.250 0.250 0.250
F 0.750 0.750 0.750
La 0.500 0.500 0.500

## Properties
* symmetry: Fm-3m, No. 225
* relative energy among the computed polymorphs: 0.960 eV per atom
* formation energy without anion corrections: -159.4 kJ per mole of atoms

---

No. 8
Density functional theory data (PBE) for crystalline CaZn4Ga3 at its relaxed geometry.

abc: 4.300 4.300 8.198
angles: 90.00 90.00 90.00
Sites, in units of the cell vectors:
Ga 0.500 0.500 0.350
Ga 0.000 0.000 0.000
Ga 0.500 0.500 0.650
Ca 0.000 0.000 0.500
Zn 0.000 0.500 0.179
Zn 0.500 0.000 0.179
Zn 0.500 0.000 0.821
Zn 0.000 0.500 0.821

## Properties
* symmetry: P4/mmm, No. 123
* E_form: -192 meV per atom

---

No. 9
Density functional theory data (PBE) for crystalline PPdN2 at its relaxed geometry.

abc: 3.056 3.056 9.373
angles: 90.00 90.00 90.00
Sites, in units of the cell vectors:
N 0.000 0.000 0.771
N 0.000 0.000 0.889
Pd 0.000 0.000 0.293
P 0.500 0.500 0.409

## Properties
* symmetry: P4mm, No. 99
* formation energy without anion corrections: 10.9 kJ per mole of atoms

---

No. 10
Density functional theory data (PBE) for crystalline KAs2W at its relaxed geometry.

abc: 3.470 3.470 8.758
angles: 78.48 78.48 59.57
Sites, in units of the cell vectors:
K 0.502 0.502 0.499
As 0.936 0.936 0.194
As 0.730 0.730 0.807
W 0.333 0.333 0.001

## Properties
* symmetry: Cm, No. 8
* relative energy among the computed polymorphs: 0.001 eV per atom
* E_form: -91 meV per atom

---

No. 11
Density functional theory data (PBE) for crystalline LaBiO2 at its relaxed geometry.

abc: 5.836 5.836 6.752
angles: 64.39 64.39 90.00
Sites, in units of the cell vectors:
La 0.500 0.500 0.000
La 0.250 0.750 0.500
O 0.875 0.824 0.750
O 0.375 0.426 0.750
O 0.574 0.125 0.250
O 0.176 0.625 0.250
Bi 0.000 0.000 0.000
Bi 0.750 0.250 0.500

## Properties
* symmetry: I-42d, No. 122
* formation energy without anion corrections: -175.8 kJ per mole of atoms

---

No. 12
Density functional theory data (PBE) for crystalline K3La3BiO8 at its relaxed geometry.

abc: 7.347 7.348 7.636
angles: 118.77 89.99 120.01
Sites, in units of the cell vectors:
Bi 0.000 0.000 0.500
O 0.218 0.436 0.684
O 0.218 0.966 0.684
O 0.272 0.544 0.316
O 0.782 0.034 0.316
O 0.252 0.034 0.316
O 0.748 0.966 0.684
O 0.782 0.564 0.316
O 0.728 0.456 0.684
K 0.500 0.500 0.000
K 0.000 0.500 0.000
K 0.000 0.000 0.000
La 0.500 0.000 0.500
La 0.000 0.500 0.500
La 0.500 0.500 0.500

## Properties
* symmetry: R-3m, No. 166
* formation energy without anion corrections: -226.3 kJ per mole of atoms

---

No. 13
Density functional theory data (PBE) for crystalline NdH8Pt2Rh3 at its relaxed geometry.

abc: 5.712 5.712 5.729
angles: 60.10 60.10 60.00
Sites, in units of the cell vectors:
Rh 0.505 0.505 0.978
Rh 0.505 0.012 0.978
Rh 0.012 0.505 0.978
Pt 0.501 0.501 0.498
Pt 0.135 0.135 0.596
H 0.719 0.364 0.198
H 0.761 0.203 0.834
H 0.364 0.719 0.198
H 0.722 0.722 0.835
H 0.203 0.203 0.834
H 0.266 0.266 0.203
H 0.719 0.719 0.198
H 0.203 0.761 0.834
Nd 0.880 0.880 0.360

## Properties
* symmetry: R3m, No. 160
* uncorrected energy: -4.897 eV per atom

---

Results for M_tot: 0.00 0.00 0.00 0.00 0.00 0.00 0.00 0.00 0.00 0.00 0.00 0.00 0.00 (in μB/cell, following the order of the records).